Here is a relaxed structure of Ca2TaIn from Alexandria via LeMat-Bulk. Energies are from GGA-PBE.

abc: 3.191 3.191 10.436
angles: 90.00 90.00 90.00
Fractional positions:
Ca1 0.000 0.000 0.000
Ca2 0.500 0.500 0.325
Ta1 0.500 0.500 0.761
In1 0.000 0.000 0.559

N(E_F), states/eV/cell: 4.71
Calculated total energy, Ry per atom: -0.321
Crystal system: tetragonal
Volume, Å³/cell: 106.3
E_form, eV per formula unit: 1.115